No. 1
DFT (PBE-GGA) results for a relaxed structure of Ho2Er3In.

Cell lengths 7.8384, 7.8384, 4.8330 Å; angles 90.00, 90.00, 144.12 degrees
Atoms (fractional coordinates):
Ho: 0.1621 0.8379 0.0000
Ho: 0.8379 0.1621 0.0000
Er: 0.0000 0.0000 0.5000
Er: 0.3317 0.6683 0.5000
Er: 0.6683 0.3317 0.5000
In: 0.5000 0.5000 0.0000

Results
**Space-group type**: No. 65
**Volume**: 29.01 A^3/atom
**Calculated formation energy**: -0.163 eV/atom

***

No. 2
DFT (PBE-GGA) results for a relaxed structure of Ho8Er2In3.

Cell lengths 12.1480, 12.1480, 12.1480 Å; angles 30.36, 30.36, 30.36 degrees
Atoms (fractional coordinates):
Ho: 0.2196 0.2196 0.7210
Ho: 0.2196 0.7210 0.2196
Ho: 0.2258 0.2258 0.2258
Ho: 0.2790 0.7804 0.7804
Ho: 0.7210 0.2196 0.2196
Ho: 0.7742 0.7742 0.7742
Ho: 0.7804 0.2790 0.7804
Ho: 0.7804 0.7804 0.2790
Er: 0.1361 0.1361 0.1361
Er: 0.8639 0.8639 0.8639
In: 0.3117 0.3117 0.3117
In: 0.5000 0.5000 0.5000
In: 0.6883 0.6883 0.6883

Results
**Space-group type**: No. 166
**Volume**: 31.23 A^3/atom
**Calculated formation energy**: 0.133 eV/atom

***

No. 3
DFT (PBE-GGA) results for a relaxed structure of Ho3Er2In.

Cell lengths 6.6097, 6.6097, 6.6097 Å; angles 129.03, 122.22, 80.63 degrees
Atoms (fractional coordinates):
Ho: 0.0000 0.0000 0.0000
Ho: 0.3446 0.3446 0.0000
Ho: 0.6554 0.6554 0.0000
Er: 0.1829 0.6829 0.5000
Er: 0.8171 0.3171 0.5000
In: 0.5000 0.0000 0.5000

Results
**Space-group type**: No. 71
**Volume**: 30.52 A^3/atom
**Calculated formation energy**: 0.225 eV/atom